1.
MnPtBr5: optimized geometry, PBE.

Computed properties:
- formation energy without anion corrections (eV per formula unit) = -2.12

Cell and atoms, written as POSCAR:
```
MnPtBr5
1.0
0.353 4.353 -5.413
-2.953 -5.960 -2.030
-7.231 4.084 5.388
Mn Br Pt
2 10 2
direct
0.500 0.000 0.000 Mn
0.500 0.000 0.500 Mn
0.431 0.069 0.250 Br
0.856 0.339 0.080 Br
0.713 0.768 0.047 Br
0.732 0.788 0.453 Br
0.287 0.232 0.953 Br
0.569 0.931 0.750 Br
0.268 0.212 0.547 Br
0.840 0.356 0.580 Br
0.144 0.661 0.920 Br
0.160 0.644 0.420 Br
0.851 0.648 0.250 Pt
0.149 0.352 0.750 Pt
```

=====

2.
In2GaRhCl: optimized geometry, PBE.

Computed properties:
- formation energy without anion corrections (eV per formula unit) = -2.59

Cell and atoms, written as POSCAR:
```
In2GaRhCl
1.0
5.205 0.000 0.000
0.000 5.205 0.000
0.000 0.000 4.781
In Cl Rh Ga
2 1 1 1
direct
0.500 0.000 0.000 In
0.000 0.500 0.000 In
0.500 0.500 0.500 Cl
0.000 0.000 0.000 Rh
0.000 0.000 0.500 Ga
```

=====

3.
CeH6IrRh: optimized geometry, PBE.

Computed properties:
- uncorrected energy (Ry/atom) = -0.36537

Cell and atoms, written as POSCAR:
```
CeH6IrRh
1.0
4.745 0.001 0.000
2.373 4.110 0.000
0.000 0.000 4.223
H Rh Ce Ir
6 1 1 1
direct
0.009 0.496 0.227 H
0.495 0.495 0.773 H
0.496 0.010 0.773 H
0.495 0.010 0.227 H
0.009 0.495 0.773 H
0.496 0.495 0.227 H
0.666 0.667 0.500 Rh
0.000 0.000 0.000 Ce
0.333 0.333 0.500 Ir
```

=====

4.
Np4U: optimized geometry, PBE.

Computed properties:
- ΔH_f (0 K) (eV/atom) = 0.914

Cell and atoms, written as POSCAR:
```
Np4U
1.0
-1.243 2.497 4.073
-4.694 -1.419 -0.562
0.887 -4.015 2.732
Np U
4 1
direct
0.000 0.500 0.500 Np
0.500 0.500 0.000 Np
0.000 0.000 0.000 Np
0.500 0.000 0.500 Np
0.500 0.500 0.500 U
```

=====

5.
Gd2InN: optimized geometry, PBE.

Computed properties:
- formation energy without anion corrections (eV per formula unit) = -2.24
- energy above the most stable polymorph in this dataset (meV/atom) = 408

Cell and atoms, written as POSCAR:
```
Gd2InN
1.0
3.147 0.000 0.000
0.000 3.147 0.000
0.000 0.000 8.043
In Gd N
1 2 1
direct
0.500 0.500 0.500 In
0.000 0.000 0.181 Gd
0.000 0.000 0.819 Gd
0.500 0.500 0.000 N
```

=====

6.
NaIn12Hg7: optimized geometry, PBE.

Computed properties:
- ΔH_f (0 K) (eV/atom) = 0.015
- energy above the most stable polymorph in this dataset (meV/atom) = 20

Cell and atoms, written as POSCAR:
```
NaIn12Hg7
1.0
-7.931 -0.049 2.491
0.623 -7.848 -2.670
3.737 -0.787 7.384
Na In Hg
1 12 7
direct
0.000 0.000 0.000 Na
0.598 0.166 0.475 In
0.749 0.907 0.257 In
0.743 0.251 0.093 In
0.251 0.093 0.743 In
0.475 0.598 0.166 In
0.907 0.257 0.749 In
0.525 0.402 0.834 In
0.402 0.834 0.525 In
0.834 0.525 0.402 In
0.257 0.749 0.907 In
0.166 0.475 0.598 In
0.093 0.743 0.251 In
0.618 0.882 0.867 Hg
0.500 0.500 0.500 Hg
0.882 0.867 0.618 Hg
0.133 0.382 0.118 Hg
0.382 0.118 0.133 Hg
0.867 0.618 0.882 Hg
0.118 0.133 0.382 Hg
```

=====

7.
LaTiAlPt2: optimized geometry, PBE.

Computed properties:
- ΔH_f (0 K) (eV/atom) = -1.026

Cell and atoms, written as POSCAR:
```
LaTiAlPt2
1.0
4.175 0.000 0.000
0.000 4.175 0.000
-2.088 -2.088 5.813
Pt Al Ti La
2 1 1 1
direct
0.382 0.382 0.765 Pt
0.618 0.618 0.235 Pt
0.750 0.250 0.500 Al
0.250 0.750 0.500 Ti
0.000 0.000 0.000 La
```

=====

8.
Zr2GeIr: optimized geometry, PBE.

Computed properties:
- ΔH_f (0 K) (eV/atom) = -0.821

Cell and atoms, written as POSCAR:
```
Zr2GeIr
1.0
4.017 0.000 0.000
0.000 5.492 0.010
0.000 -2.727 7.038
Zr Ir Ge
4 2 2
direct
0.250 0.797 0.563 Zr
0.750 0.222 0.914 Zr
0.750 0.203 0.437 Zr
0.250 0.778 0.086 Zr
0.750 0.661 0.293 Ir
0.250 0.339 0.707 Ir
0.250 0.324 0.206 Ge
0.750 0.676 0.794 Ge
```

=====

| no. | theoretical density (g/cm3) | calculated volume (A^3/atom) |
| --- | --- | --- |
| 1 | 5.096 | 30.24 |
| 2 | 5.611 | 25.91 |
| 3 | 8.897 | 9.15 |
| 4 | 16.372 | 24.06 |
| 5 | 9.241 | 19.92 |
| 6 | 8.486 | 27.44 |
| 7 | 9.895 | 20.27 |
| 8 | 9.561 | 19.42 |